# 1
A relaxed KTePS2 crystal. Source: Alexandria via LeMat-Bulk, functional PBEsol.

a = 5.1568 Å, b = 5.1468 Å, c = 5.1468 Å
α = 90.00°, β = 90.00°, γ = 90.00°
Last column: nearest neighbours and their distance in Å.
Atoms (fractional coordinates):
1 S 0.0000 0.0000 0.5000  2 Te 2.57
2 S 0.0000 0.5000 0.0000  2 Te 2.57
3 P 0.5000 0.0000 0.0000  2 Te 2.58
4 Te 0.0000 0.0000 0.0000  4 S 2.57, 2 P 2.58
5 K 0.5000 0.5000 0.5000  4 P 3.64, 8 S 3.64

## Properties
Space-group type: P4/mmm, No. 123

# 2
A relaxed Hf3Zn3N crystal. Source: Alexandria via LeMat-Bulk, functional PBEsol.

a = 8.3882 Å, b = 8.3882 Å, c = 8.3882 Å
α = 60.00°, β = 60.00°, γ = 60.00°
Last column: nearest neighbours and their distance in Å.
Atoms (fractional coordinates):
1 Zn 0.6250 0.1250 0.1250  6 Zn 2.56
2 Zn 0.1250 0.6250 0.1250  6 Zn 2.56
3 Zn 0.3318 0.3318 0.0045  6 Zn 2.56-2.75, 3 Hf 2.83
4 Zn 0.1250 0.1250 0.6250  6 Zn 2.56
5 Zn 0.9182 0.9182 0.2455  6 Zn 2.56-2.75, 3 Hf 2.83
6 Zn 0.1250 0.1250 0.1250  6 Zn 2.56
7 Zn 0.3318 0.3318 0.3318  6 Zn 2.56-2.75, 3 Hf 2.83
8 Zn 0.2455 0.9182 0.9182  6 Zn 2.56-2.75, 3 Hf 2.83
9 Zn 0.9182 0.9182 0.9182  6 Zn 2.56-2.75, 3 Hf 2.83
10 Zn 0.9182 0.2455 0.9182  6 Zn 2.56-2.75, 3 Hf 2.83
11 Zn 0.3318 0.0045 0.3318  6 Zn 2.56-2.75, 3 Hf 2.83
12 Zn 0.0045 0.3318 0.3318  6 Zn 2.56-2.75, 3 Hf 2.83
13 N 0.6250 0.1250 0.6250  6 Hf 2.22
14 N 0.6250 0.6250 0.1250  6 Hf 2.22
15 N 0.6250 0.6250 0.6250  6 Hf 2.22
16 N 0.1250 0.6250 0.6250  6 Hf 2.22
17 Hf 0.9364 0.9364 0.5636  2 N 2.22
18 Hf 0.3136 0.6864 0.3136  2 N 2.22
19 Hf 0.5636 0.9364 0.5636  2 N 2.22
20 Hf 0.6864 0.6864 0.3136  2 N 2.22
21 Hf 0.3136 0.3136 0.6864  2 N 2.22
22 Hf 0.5636 0.5636 0.9364  2 N 2.22
23 Hf 0.3136 0.6864 0.6864  2 N 2.22
24 Hf 0.6864 0.3136 0.3136  2 N 2.22
25 Hf 0.5636 0.9364 0.9364  2 N 2.22
26 Hf 0.6864 0.3136 0.6864  2 N 2.22
27 Hf 0.9364 0.5636 0.9364  2 N 2.22
28 Hf 0.9364 0.5636 0.5636  2 N 2.22

## Properties
Space-group type: Fd-3m, No. 227

# 3
A relaxed WSeCl crystal. Source: Alexandria via LeMat-Bulk, functional PBEsol.

a = 3.0169 Å, b = 3.0169 Å, c = 6.7049 Å
α = 103.00°, β = 103.00°, γ = 90.00°
Last column: nearest neighbours and their distance in Å.
Atoms (fractional coordinates):
1 Se 0.7138 0.7138 0.4276  4 W 2.61
2 Cl 0.9543 0.9543 0.9085  4 W 2.64
3 W 0.3319 0.3319 0.6639  4 Se 2.61, 4 Cl 2.64

## Properties
Space-group type: I4mm, No. 107
E above lowest polymorph, meV per atom: 0.0

Values for energy relative to the elements, uncorrected, meV/atom, ordered as above
167, -814, -94
Values for magnetic moment, Bohr magnetons per cell, ordered as above
1.3, 0.0, 0.0